Compound: CrGaAs
Source: Alexandria
Functional: GGA-PBE
Structure: optimized geometry

Lattice parameters (Å, degrees): 5.6997 5.6997 6.1977 111.14 111.14 30.49
Last column: nearest neighbours and their distance in Å.
Atoms (fractional coordinates):
Cr1 0.1353 0.1353 0.4809  3 As 2.36-2.43, 2 Ga 2.53
Cr2 0.8647 0.8647 0.5191  3 As 2.36-2.43, 2 Ga 2.53
Ga1 0.4259 0.4259 0.2474  4 Cr 2.53-2.67, 2 As 2.55-2.76
Ga2 0.5741 0.5741 0.7526  4 Cr 2.53-2.67, 2 As 2.55-2.76
As1 0.3354 0.3354 0.8047  3 Cr 2.36-2.43, 1 Ga 2.55
As2 0.6646 0.6646 0.1953  3 Cr 2.36-2.43, 1 Ga 2.55

## Properties
Final energy ... -17.653 eV/f.u.
N(E_F) ... 0.3235 states/eV/atom
E above lowest polymorph ... 0 meV/atom
Crystal system ... monoclinic
Symmetry ... No. 12
Formation energy from the elements ... -0.35 eV per formula unit